Material: Ac4CI5
Method: DFT, GGA-PBE
State: relaxed

Its total magnetic moment is 0.01 μB/cell. The electronic total energy comes out at -88.3 eV for the cell shown. The uncorrected formation energy is -10.75 eV/f.u.

Unit cell a=20.187 b=4.309 c=9.359 alpha=90.00 beta=103.27 gamma=90.00
Space group C2/m (No. 12)
Unique sites:
Ac: 0.001 0.000 0.302 x4
Ac: 0.139 0.500 0.572 x4
C: 0.000 0.500 0.500 x2
I: 0.000 0.500 0.000 x2
I: 0.166 0.000 0.853 x4
I: 0.173 0.000 0.318 x4

Material: CuTeIr2
Method: DFT, GGA-PBE
State: relaxed

Its total magnetic moment is 0.00 μB/cell. The electronic total energy comes out at -46.3 eV for the cell shown. The uncorrected formation energy is 1.83 eV/f.u.

Unit cell a=2.949 b=4.514 c=10.198 alpha=90.00 beta=90.00 gamma=90.00
Space group Imm2 (No. 44)
Unique sites:
Cu: 0.000 0.000 0.000 x2
Te: 0.000 0.500 0.200 x2
Ir: 0.000 0.000 0.482 x2
Ir: 0.000 0.500 0.758 x2